# 1
Computed, not measured: crystalline Rb12P3Au5 at its relaxed geometry at the PBE-GGA level of DFT.

Lattice parameters (Å, degrees): 17.4146 17.4146 17.4146 109.47 109.47 109.47
Site moments in Bohr magnetons follow the coordinates.
Positions (direct):
Rb  0.9107  0.0809  0.6404  0.00
Rb  0.5809  0.9405  0.6702  0.00
Rb  0.7297  0.5893  0.1702  0.00
Au  0.8750  0.6250  0.7500  0.00
Rb  0.3298  0.5595  0.4191  0.00
Rb  0.4107  0.1404  0.5809  0.00
Rb  0.5893  0.7297  0.6702  0.00
Rb  0.8298  0.9191  0.0595  0.00
Rb  0.5893  0.8596  0.4191  0.00
P  0.2500  0.1250  0.3750  0.24
Rb  0.4107  0.2703  0.3298  0.00
Rb  0.2703  0.4107  0.8298  0.00
Rb  0.4191  0.0595  0.3298  0.00
P  0.7500  0.8750  0.6250  0.24
Au  0.5000  0.0000  0.5000  0.00
Rb  0.2297  0.6702  0.0893  0.00
Rb  0.3596  0.4191  0.0893  0.00
Rb  0.0809  0.9107  0.1404  0.00
Rb  0.1702  0.0893  0.7297  0.00
Rb  0.1702  0.0809  0.9405  0.00
Rb  0.0595  0.6404  0.7297  0.00
Au  0.8750  0.2500  0.6250  0.00
Au  0.2500  0.3750  0.6250  0.00
Rb  0.6404  0.5809  0.9107  0.00
P  0.7500  0.3750  0.1250  0.24
Rb  0.9191  0.0893  0.8596  0.00
Au  0.0000  0.5000  0.5000  0.00
P  0.1250  0.8750  0.7500  0.24
Rb  0.4405  0.6702  0.0809  0.00
Au  0.0000  0.0000  0.0000  0.00
Rb  0.0893  0.9191  0.3596  0.00
Rb  0.0893  0.1702  0.2297  0.00
Au  0.3750  0.1250  0.7500  0.00
Rb  0.5595  0.2297  0.1404  0.00
Rb  0.1404  0.7297  0.5595  0.00
Rb  0.0809  0.1702  0.4405  0.00
Rb  0.1404  0.4107  0.0809  0.00
Rb  0.6702  0.4405  0.5809  0.00
Au  0.7500  0.6250  0.3750  0.00
Au  0.7500  0.1250  0.8750  0.00
P  0.3750  0.7500  0.6250  0.24
P  0.2500  0.6250  0.8750  0.24
Rb  0.4405  0.7703  0.8596  0.00
Rb  0.7703  0.3298  0.9107  0.00
Rb  0.8596  0.2703  0.4405  0.00
Rb  0.9107  0.8298  0.7703  0.00
Au  0.5000  0.5000  0.0000  0.00
Au  0.0000  0.0000  0.5000  0.00
Rb  0.5809  0.6404  0.4107  0.00
Au  0.0000  0.5000  0.0000  0.00
Au  0.5000  0.5000  0.5000  0.00
Rb  0.9405  0.3596  0.2703  0.00
Rb  0.3596  0.9405  0.7703  0.00
Rb  0.6404  0.0595  0.2297  0.00
Au  0.6250  0.8750  0.2500  0.00
P  0.8750  0.7500  0.1250  0.24
Au  0.2500  0.8750  0.1250  0.00
P  0.1250  0.2500  0.8750  0.24
Rb  0.8298  0.9107  0.2703  0.00
Au  0.3750  0.2500  0.1250  0.00
Rb  0.3298  0.7703  0.4107  0.00
Rb  0.0595  0.4191  0.8298  0.00
Rb  0.9191  0.8298  0.5595  0.00
P  0.8750  0.1250  0.2500  0.24
Au  0.5000  0.0000  0.0000  0.00
Rb  0.7297  0.1404  0.0595  0.00
Rb  0.2297  0.5595  0.6404  0.00
Au  0.6250  0.7500  0.8750  0.00
Au  0.1250  0.7500  0.3750  0.00
P  0.6250  0.2500  0.3750  0.24
Rb  0.7703  0.4405  0.3596  0.00
Rb  0.2703  0.8596  0.9405  0.00
P  0.3750  0.6250  0.2500  0.24
Rb  0.6702  0.2297  0.5893  0.00
Rb  0.5595  0.3298  0.9191  0.00
Rb  0.4191  0.3596  0.5893  0.00
P  0.6250  0.3750  0.7500  0.24
Au  0.1250  0.3750  0.2500  0.00
Rb  0.8596  0.5893  0.9191  0.00
Rb  0.9405  0.5809  0.1702  0.00

Summary:
Formation energy, eV per atom: -0.098
Fermi-level density of states, states/eV per atom: 0.74


# 2
Computed, not measured: crystalline NaSc2TcW at its relaxed geometry at the PBE-GGA level of DFT.

Lattice parameters (Å, degrees): 5.1297 4.7295 5.1297 90.00 90.00 90.00
Positions (direct):
Sc  0.0000  0.0000  0.5000
W  0.0000  0.5000  0.0000
Sc  0.5000  0.0000  0.0000
Tc  0.0000  0.0000  0.0000
Na  0.5000  0.5000  0.5000

Summary:
Formation energy, eV per atom: 0.687
Fermi-level density of states, states/eV per atom: 1.03


# 3
Computed, not measured: crystalline Pm7Tm2Sn2 at its relaxed geometry at the PBE-GGA level of DFT.

Lattice parameters (Å, degrees): 5.0839 9.2514 9.2514 58.51 74.05 74.05
Positions (direct):
Pm  0.8385  0.5060  0.8170
Pm  0.5000  0.9281  0.0719
Pm  0.1622  0.7394  0.9362
Tm  0.0000  0.6198  0.3802
Tm  0.5000  0.3219  0.6781
Pm  0.8378  0.0638  0.2606
Pm  0.1615  0.1830  0.4940
Sn  0.3102  0.3155  0.0641
Sn  0.6898  0.9359  0.6845
Pm  0.3483  0.7719  0.5315
Pm  0.6517  0.4685  0.2281

Summary:
Formation energy, eV per atom: -0.211
Fermi-level density of states, states/eV per atom: 1.35


# 4
Computed, not measured: crystalline SrTaNi2B at its relaxed geometry at the PBE-GGA level of DFT.

Lattice parameters (Å, degrees): 4.0120 4.9078 4.0120 90.00 90.00 90.00
Positions (direct):
B  0.0000  0.0000  0.0000
Ni  0.5000  0.0000  0.0000
Sr  0.0000  0.5000  0.0000
Ta  0.5000  0.5000  0.5000
Ni  0.0000  0.0000  0.5000

Summary:
Formation energy, eV per atom: 0.938
Fermi-level density of states, states/eV per atom: 1.21


Q: What is the formula in the second record?
A: NaSc2TcW